[1]
The following is a GGA-PBE calculation of a relaxed structure of NdYTmPu, from Alexandria via LeMat-Bulk.

Calculated values
- N(E_F): 11.62 states/eV per cell
- Energy of formation from the pure elements: 19.91 kJ per mole of atoms

Cell and atoms, written as POSCAR:
```
NdYTmPu
1.0
-2.9604 -1.6894 4.4841
-3.5492 -4.3509 -0.4448
1.2216 -4.8978 2.4988
Nd Tm Y Pu
1 1 1 1
Direct
0.0000 0.0000 0.0000
0.7500 0.7500 0.7500
0.2500 0.2500 0.2500
0.5000 0.5000 0.5000
```

[2]
The following is a GGA-PBE calculation of a relaxed structure of Nd3Y2Tm6Pu, from Alexandria via LeMat-Bulk.

Calculated values
- N(E_F): 21.93 states/eV per cell
- Energy of formation from the pure elements: 4.55 kJ per mole of atoms

Cell and atoms, written as POSCAR:
```
Nd3Y2Tm6Pu
1.0
-4.9665 0.5726 3.5704
-0.5183 -2.4395 -5.6144
3.7562 -9.8057 5.0348
Tm Y Nd Pu
6 2 3 1
Direct
0.7533 0.7533 0.2458
0.5898 0.9181 0.7544
0.9181 0.5898 0.7544
0.2467 0.2467 0.7542
0.4102 0.0819 0.2456
0.0819 0.4102 0.2456
0.3334 0.6666 0.0000
0.6666 0.3334 0.0000
0.5000 0.5000 0.5000
0.1673 0.8327 0.5000
0.8327 0.1673 0.5000
0.0000 0.0000 0.0000
```

[3]
The following is a GGA-PBE calculation of a relaxed structure of Nd3Y4Pu, from Alexandria via LeMat-Bulk.

Calculated values
- N(E_F): 16.67 states/eV per cell
- Energy of formation from the pure elements: 14.74 kJ per mole of atoms

Cell and atoms, written as POSCAR:
```
Nd3Y4Pu
1.0
3.3691 0.0000 -0.8154
-1.2067 10.5486 -4.9860
0.2957 -2.4278 8.5897
Nd Y Pu
3 4 1
Direct
0.2355 0.2355 0.4710
0.7645 0.7645 0.5290
0.0000 0.5000 0.0000
0.6319 0.8838 0.2639
0.6320 0.3800 0.2639
0.3680 0.6200 0.7361
0.3681 0.1162 0.7361
0.5000 0.0000 0.0000
```

[4]
The following is a GGA-PBE calculation of a relaxed structure of NdY2Pu, from Alexandria via LeMat-Bulk.

Calculated values
- N(E_F): 11.37 states/eV per cell
- Offset from the most stable computed form: 0.1 kJ/mol of atoms
- Energy of formation from the pure elements: 10.83 kJ per mole of atoms

Cell and atoms, written as POSCAR:
```
NdY2Pu
1.0
3.5742 0.0004 -0.0001
1.7874 3.0952 -0.0001
1.7868 1.0316 11.5606
Pu Nd Y
1 1 2
Direct
0.6663 0.6663 0.0013
0.5005 0.5005 0.4984
0.2524 0.2524 0.2427
0.0808 0.0808 0.7576
```

[5]
The following is a GGA-PBE calculation of a relaxed structure of Nd3Y6Pu, from Alexandria via LeMat-Bulk.

Calculated values
- N(E_F): 17.96 states/eV per cell
- Energy of formation from the pure elements: 23.89 kJ per mole of atoms

Cell and atoms, written as POSCAR:
```
Nd3Y6Pu
1.0
8.7653 0.0000 4.6515
3.1485 8.1803 4.6515
2.2327 1.5330 6.3772
Y Pu Nd
6 1 3
Direct
0.4210 0.7447 0.7552
0.9128 0.5873 0.2697
0.0791 0.4210 0.7552
0.5873 0.2302 0.2697
0.7447 0.0791 0.7552
0.2302 0.9128 0.2697
0.8822 0.8822 0.3534
0.1220 0.1220 0.6341
0.6364 0.6364 0.0909
0.3843 0.3843 0.8470
```

[6]
The following is a GGA-PBE calculation of a relaxed structure of Nd2Y7Pu, from Alexandria via LeMat-Bulk.

Calculated values
- N(E_F): 20.21 states/eV per cell
- Energy of formation from the pure elements: 12.98 kJ per mole of atoms

Cell and atoms, written as POSCAR:
```
Nd2Y7Pu
1.0
3.5035 0.0381 0.0234
-0.0632 10.4216 -11.0463
-0.0632 -5.1034 14.3033
Y Nd Pu
7 2 1
Direct
0.7791 0.8452 0.6489
0.0000 0.2941 0.7059
0.0000 0.7059 0.2941
0.2209 0.3511 0.1548
0.2209 0.1548 0.3511
0.7791 0.6489 0.8452
0.5000 0.5000 0.5000
0.5000 0.1905 0.8095
0.5000 0.8095 0.1905
0.0000 0.0000 0.0000
```

[7]
The following is a GGA-PBE calculation of a relaxed structure of Nd2Y6Pu, from Alexandria via LeMat-Bulk.

Calculated values
- N(E_F): 29.61 states/eV per cell
- Energy of formation from the pure elements: 23.66 kJ per mole of atoms

Cell and atoms, written as POSCAR:
```
Nd2Y6Pu
1.0
-3.7153 -0.1164 -6.4696
-3.0843 -6.7027 1.8918
-4.8178 11.6087 2.5579
Y Nd Pu
12 4 2
Direct
0.2685 0.2740 0.4998
0.9999 0.7179 0.2175
0.2315 0.7740 0.9998
0.7316 0.2740 0.4998
0.0001 0.2821 0.7825
0.7685 0.2260 0.0002
0.7684 0.7740 0.9998
0.2684 0.7260 0.5002
0.2316 0.2260 0.0002
0.4999 0.7821 0.2825
0.5001 0.2179 0.7175
0.7315 0.7260 0.5002
0.5000 0.7641 0.7636
0.0000 0.7359 0.7364
0.5000 0.2359 0.2364
0.0000 0.2641 0.2636
0.0000 0.0000 0.5000
0.5000 0.5000 0.0000
```

[8]
The following is a GGA-PBE calculation of a relaxed structure of Nd4Y5Pu, from Alexandria via LeMat-Bulk.

Calculated values
- N(E_F): 38.58 states/eV per cell
- Energy of formation from the pure elements: 24.64 kJ per mole of atoms

Cell and atoms, written as POSCAR:
```
Nd4Y5Pu
1.0
5.7783 0.0000 0.0000
0.0000 11.5786 0.0000
0.0000 0.0000 10.2616
Nd Y Pu
8 10 2
Direct
0.7507 0.1813 0.0000
0.7507 0.8187 0.0000
0.7514 0.0000 0.2839
0.2493 0.6813 0.5000
0.2493 0.3187 0.5000
0.7514 0.0000 0.7161
0.2486 0.5000 0.7839
0.2486 0.5000 0.2161
0.7496 0.3070 0.6906
0.7496 0.3070 0.3094
0.2504 0.8070 0.1906
0.7479 0.5000 0.0000
0.7496 0.6930 0.6906
0.7496 0.6930 0.3094
0.2504 0.8070 0.8094
0.2521 0.0000 0.5000
0.2504 0.1930 0.8094
0.2504 0.1930 0.1906
0.7489 0.5000 0.5000
0.2511 0.0000 0.0000
```

[9]
The following is a GGA-PBE calculation of a relaxed structure of Nd6Y5Pu, from Alexandria via LeMat-Bulk.

Calculated values
- N(E_F): 22.27 states/eV per cell
- Energy of formation from the pure elements: 4.63 kJ per mole of atoms

Cell and atoms, written as POSCAR:
```
Nd6Y5Pu
1.0
-1.7313 4.7820 -0.6490
-6.1201 -0.1894 -5.3200
-8.3033 3.4352 6.9594
Nd Y Pu
6 5 1
Direct
0.0826 0.3296 0.7526
0.7481 0.0000 0.7520
0.9174 0.6704 0.2474
0.5878 0.3296 0.2474
0.2519 0.0000 0.2480
0.4122 0.6704 0.7526
0.8331 0.3339 0.5000
0.1669 0.6661 0.5000
0.6644 0.6712 0.0000
0.3356 0.3288 0.0000
0.5000 0.0000 0.5000
0.0000 0.0000 0.0000
```

[10]
The following is a GGA-PBE calculation of a relaxed structure of Nd5Y6Pu, from Alexandria via LeMat-Bulk.

Calculated values
- N(E_F): 23.52 states/eV per cell
- Energy of formation from the pure elements: 4.24 kJ per mole of atoms

Cell and atoms, written as POSCAR:
```
Nd5Y6Pu
1.0
-4.3273 -0.6591 4.4691
0.5995 -4.5079 4.2938
-1.2525 6.2194 14.3003
Nd Y Pu
5 6 1
Direct
0.5000 0.0000 0.5000
0.3334 0.3331 0.0000
0.8330 0.3341 0.5000
0.6666 0.6669 0.0000
0.1670 0.6659 0.5000
0.7403 0.0000 0.7530
0.0825 0.3290 0.7531
0.4115 0.6710 0.7531
0.5885 0.3290 0.2469
0.2597 0.0000 0.2470
0.9175 0.6710 0.2469
0.0000 0.0000 0.0000
```

[11]
The following is a GGA-PBE calculation of a relaxed structure of Nd10Y6Pu, from Alexandria via LeMat-Bulk.

Calculated values
- N(E_F): 31.81 states/eV per cell
- Energy of formation from the pure elements: 15.82 kJ per mole of atoms

Cell and atoms, written as POSCAR:
```
Nd10Y6Pu
1.0
-4.2996 5.1599 -1.7514
-5.0980 -6.1967 -5.7411
-2.5011 1.1325 9.4769
Nd Y Pu
10 6 1
Direct
0.0000 0.6667 0.3333
0.1848 0.2693 0.2693
0.8152 0.7307 0.7307
0.1848 0.7307 0.0000
0.0000 0.3333 0.6667
0.8152 0.0000 0.2693
0.5000 0.3333 0.6667
0.1848 0.0000 0.7307
0.8152 0.2693 0.0000
0.5000 0.6667 0.3333
0.3111 0.0000 0.3708
0.6889 0.0000 0.6292
0.3111 0.6292 0.6292
0.3111 0.3708 0.0000
0.6889 0.6292 0.0000
0.6889 0.3708 0.3708
0.5000 0.0000 0.0000
```

[12]
The following is a GGA-PBE calculation of a relaxed structure of Nd8Y6Pu, from Alexandria via LeMat-Bulk.

Calculated values
- N(E_F): 24.16 states/eV per cell
- Energy of formation from the pure elements: 11.08 kJ per mole of atoms

Cell and atoms, written as POSCAR:
```
Nd8Y6Pu
1.0
7.8678 0.1062 3.7799
2.4212 7.4868 3.7799
0.1439 0.1062 8.7275
Nd Y Pu
8 6 1
Direct
0.7589 0.1143 0.7153
0.1143 0.7153 0.7589
0.2847 0.2411 0.8857
0.2411 0.8857 0.2847
0.8857 0.2847 0.2411
0.5771 0.5771 0.5771
0.4229 0.4229 0.4229
0.7153 0.7589 0.1143
0.0988 0.5432 0.2426
0.9012 0.4568 0.7574
0.7574 0.9012 0.4568
0.4568 0.7574 0.9012
0.2426 0.0988 0.5432
0.5432 0.2426 0.0988
0.0000 0.0000 0.0000
```

[13]
The following is a GGA-PBE calculation of a relaxed structure of Nd4Y10Pu, from Alexandria via LeMat-Bulk.

Calculated values
- N(E_F): 24.98 states/eV per cell
- Energy of formation from the pure elements: 26.56 kJ per mole of atoms

Cell and atoms, written as POSCAR:
```
Nd4Y10Pu
1.0
-6.2512 3.8604 2.6784
-7.6866 -1.4784 -4.3929
-4.7878 -4.2140 6.3155
Nd Y Pu
4 10 1
Direct
0.7708 0.4589 0.9995
0.7703 0.0005 0.4589
0.2297 0.9995 0.5411
0.2292 0.5411 0.0005
0.7500 0.5000 0.5000
0.2875 0.2073 0.7925
0.2873 0.7927 0.2075
0.9200 0.7925 0.7927
0.7127 0.2073 0.7925
0.0800 0.2075 0.2073
0.7125 0.7927 0.2075
0.4948 0.7925 0.7927
0.2500 0.5000 0.5000
0.5052 0.2075 0.2073
0.0000 0.0000 0.0000
```

[14]
The following is a GGA-PBE calculation of a relaxed structure of Nd12Y7Pu, from Alexandria via LeMat-Bulk.

Calculated values
- N(E_F): 40.51 states/eV per cell
- Energy of formation from the pure elements: 69.26 kJ per mole of atoms

Cell and atoms, written as POSCAR:
```
Nd12Y7Pu
1.0
-6.0198 1.1157 7.9792
-4.7755 -5.3028 -7.0870
8.3602 -4.8612 2.7614
Nd Y Pu
12 7 1
Direct
0.7514 0.2490 0.0004
0.5024 0.7514 0.7510
0.9996 0.2486 0.7510
0.7514 0.7510 0.5024
0.7510 0.5024 0.7514
0.2490 0.0004 0.7514
0.2486 0.7510 0.9996
0.7510 0.9996 0.2486
0.0004 0.7514 0.2490
0.4976 0.2486 0.2490
0.2486 0.2490 0.4976
0.2490 0.4976 0.2486
0.0000 0.0000 0.5000
0.5000 0.5000 0.0000
0.5000 0.5000 0.5000
0.0000 0.5000 0.0000
0.5000 0.0000 0.0000
0.0000 0.5000 0.5000
0.5000 0.0000 0.5000
0.0000 0.0000 0.0000
```

[15]
The following is a GGA-PBE calculation of a relaxed structure of NdY2Pu, from Alexandria via LeMat-Bulk.

Calculated values
- N(E_F): 16.33 states/eV per cell
- Offset from the most stable computed form: 4.4 kJ/mol of atoms
- Energy of formation from the pure elements: 15.07 kJ per mole of atoms

Cell and atoms, written as POSCAR:
```
NdY2Pu
1.0
5.0563 0.0000 0.0000
0.0000 5.0210 0.0000
0.0000 0.0000 5.0210
Y Nd Pu
2 1 1
Direct
0.0000 0.5000 0.0000
0.0000 0.0000 0.5000
0.5000 0.5000 0.5000
0.5000 0.0000 0.0000
```

[16]
The following is a GGA-PBE calculation of a relaxed structure of NdY2Pu, from Alexandria via LeMat-Bulk.

Calculated values
- N(E_F): 10.27 states/eV per cell
- Offset from the most stable computed form: 0.0 kJ/mol of atoms
- Energy of formation from the pure elements: 10.68 kJ per mole of atoms

Cell and atoms, written as POSCAR:
```
NdY2Pu
1.0
3.5476 0.0000 0.0000
0.0000 3.5476 0.0000
0.0000 0.0000 10.1265
Pu Nd Y
1 1 2
Direct
0.5000 0.5000 0.0000
0.5000 0.5000 0.5000
0.0000 0.0000 0.7602
0.0000 0.0000 0.2398
```

[17]
The following is a GGA-PBE calculation of a relaxed structure of Nd4Y8Pu, from Alexandria via LeMat-Bulk.

Calculated values
- N(E_F): 23.26 states/eV per cell
- Energy of formation from the pure elements: 52.04 kJ per mole of atoms

Cell and atoms, written as POSCAR:
```
Nd4Y8Pu
1.0
7.6264 -1.1611 1.3324
0.9111 7.6603 1.3324
-1.5252 -1.1611 7.5902
Y Nd Pu
8 4 1
Direct
0.7566 0.7566 0.2450
0.7550 0.2434 0.2434
0.7566 0.2450 0.7566
0.7561 0.7561 0.7561
0.2434 0.2434 0.7550
0.2434 0.7550 0.2434
0.2439 0.2439 0.2439
0.2450 0.7566 0.7566
0.5000 0.0000 0.5000
0.5000 0.5000 0.0000
0.0000 0.0000 0.0000
0.0000 0.5000 0.5000
0.5000 0.5000 0.5000
```

[18]
The following is a GGA-PBE calculation of a relaxed structure of NdYPu, from Alexandria via LeMat-Bulk.

Calculated values
- N(E_F): 7.04 states/eV per cell
- Offset from the most stable computed form: 0.0 kJ/mol of atoms
- Energy of formation from the pure elements: 12.42 kJ per mole of atoms

Cell and atoms, written as POSCAR:
```
NdYPu
1.0
-2.7825 -1.8626 -1.2028
1.4887 -0.1391 -3.2284
4.1191 -5.3981 4.0925
Y Nd Pu
1 1 1
Direct
0.6706 0.6706 0.3413
0.9969 0.9969 0.9938
0.3325 0.3325 0.6650
```

[19]
The following is a GGA-PBE calculation of a relaxed structure of NdY2Pu, from Alexandria via LeMat-Bulk.

Calculated values
- N(E_F): 12.30 states/eV per cell
- Offset from the most stable computed form: 10.1 kJ/mol of atoms
- Energy of formation from the pure elements: 20.80 kJ per mole of atoms

Cell and atoms, written as POSCAR:
```
NdY2Pu
1.0
-0.2800 -5.6423 0.4911
0.5335 -3.2761 -4.5975
4.6650 -3.1432 -0.7158
Y Nd Pu
2 1 1
Direct
0.7500 0.7500 0.7500
0.2500 0.2500 0.2500
0.0000 0.0000 0.0000
0.5000 0.5000 0.5000
```

[20]
The following is a GGA-PBE calculation of a relaxed structure of Nd6Y2Pu, from Alexandria via LeMat-Bulk.

Calculated values
- N(E_F): 36.29 states/eV per cell
- Energy of formation from the pure elements: 17.40 kJ per mole of atoms

Cell and atoms, written as POSCAR:
```
Nd6Y2Pu
1.0
7.1501 0.0000 0.0000
0.0000 7.0622 -4.9136
0.0000 -3.5517 14.6532
Nd Pu Y
12 2 4
Direct
0.7436 0.2451 0.4500
0.5006 0.2506 0.6741
0.7568 0.7459 0.9512
0.7429 0.7543 0.5498
0.7575 0.2536 0.0485
0.2436 0.2549 0.0500
0.2575 0.2464 0.4515
0.0015 0.7507 0.1740
0.5015 0.7493 0.3260
0.2429 0.7457 0.9502
0.2568 0.7541 0.5488
0.0006 0.2494 0.8259
0.9978 0.0000 0.5000
0.4978 0.5000 0.0000
0.4996 0.8116 0.7702
0.9996 0.6884 0.7298
0.9997 0.3116 0.2702
0.4997 0.1884 0.2298
```